Computed, not measured: an optimized crystal structure of LaSm3Y5 at the PBE level of DFT.

Summary:
ΔE_f in eV/atom: 0.3033
Excess energy over the best structure of this formula in the dataset in meV/atom: 244
V in Å³ per atom: 34.42
Symmetry: C2/c, No. 15
Final energy in eV/cell: -97.4

Geometry as POSCAR:
```
LaSm3Y5
1.0
9.6715 -3.0490 0.0000
9.6715 3.0490 0.0000
-4.3514 0.0000 10.5060
La Sm Y
2 6 10
Direct
0.1120 0.8880 0.7500 La
0.8880 0.1120 0.2500 La
0.0000 0.0000 0.0000 Sm
0.0000 0.0000 0.5000 Sm
0.0487 0.5949 0.6353 Sm
0.4051 0.9513 0.8647 Sm
0.5949 0.0487 0.1353 Sm
0.9513 0.4051 0.3647 Sm
0.0917 0.5823 0.3028 Y
0.0936 0.5683 0.9690 Y
0.4021 0.5979 0.2500 Y
0.4177 0.9083 0.1972 Y
0.4317 0.9064 0.5310 Y
0.5683 0.0936 0.4690 Y
0.5823 0.0917 0.8028 Y
0.5979 0.4021 0.7500 Y
0.9064 0.4317 0.0310 Y
0.9083 0.4177 0.6972 Y
```